No. 1
Material: Pm2DyHo2Tm2
Method: DFT, GGA-PBE
State: optimized geometry

The crystal system is monoclinic. The spin magnetization comes out at 0.0 Bohr magnetons per cell. Its calculated volume is 32.3 A^3/atom. The formation energy comes out at 59 kJ/mol of formula units.

It has space group C2/m (No. 12), with a = 11.640 Å, b = 3.500 Å, c = 11.751 Å, α = 90.00°, β = 109.26° and γ = 90.00°. Symmetry generates all atoms from Pm at (0.171, 0.000, 0.084), Dy at (0.000, 0.500, 0.500), Ho at (0.050, 0.000, 0.769) and Tm at (0.226, 0.500, 0.364).


No. 2
Material: NaP2Ir4
Method: DFT, GGA-PBE
State: optimized geometry

The crystal system is tetragonal. The spin magnetization comes out at 0.0 Bohr magnetons per cell. Its calculated volume is 15.4 A^3/atom. The formation energy comes out at -200 kJ/mol of formula units.

It has space group P4_2/mnm (No. 136), with a = 7.602 Å, b = 7.602 Å, c = 3.730 Å, α = 90.00°, β = 90.00° and γ = 90.00°. Symmetry generates all atoms from Na at (0.000, 0.000, 0.000), P at (0.238, 0.238, 0.500) and Ir at (0.070, 0.672, 0.500).


No. 3
Material: Pr2MnSnPt6
Method: DFT, GGA-PBE
State: optimized geometry

The crystal system is monoclinic. The spin magnetization comes out at 7.4 Bohr magnetons per cell. Its calculated volume is 22.3 A^3/atom. The formation energy comes out at -412 kJ/mol of formula units.

It has space group C2/m (No. 12), with a = 8.970 Å, b = 10.627 Å, c = 5.780 Å, α = 90.00°, β = 125.84° and γ = 90.00°. Symmetry generates all atoms from Pr at (0.000, 0.250, 0.000), Mn at (0.000, 0.000, 0.500), Sn at (0.000, 0.500, 0.500), Pt at (0.000, 0.241, 0.500), Pt at (0.161, 0.000, 0.029) and Pt at (0.169, 0.500, 0.253).


No. 4
Material: Tb2PmI6
Method: DFT, GGA-PBE
State: optimized geometry

The crystal system is monoclinic. The spin magnetization comes out at 0.0 Bohr magnetons per cell. Its calculated volume is 41.2 A^3/atom. The value obtained for the uncorrected formation energy is -1.253 eV per atom.

It has space group C2/m (No. 12), with a = 17.341 Å, b = 4.172 Å, c = 11.468 Å, α = 90.00°, β = 116.66° and γ = 90.00°. Symmetry generates all atoms from Tb at (0.150, 0.000, 0.306), Pm at (0.000, 0.500, 0.000), I at (0.016, 0.500, 0.290), I at (0.149, 0.000, 0.042) and I at (0.200, 0.000, 0.611).


No. 5
Material: CoPW2
Method: DFT, GGA-PBE
State: optimized geometry

The crystal system is trigonal. The spin magnetization comes out at 0.7 Bohr magnetons per cell. Its calculated volume is 13.9 A^3/atom. The formation energy comes out at 75 kJ/mol of formula units.

It has space group R3m (No. 160, hexagonal axes), with a = 2.7743 Å, b = 2.7743 Å, c = 25.0857 Å, α = 90.00°, β = 90.00° and γ = 120.00°. Symmetry generates all atoms from Co at (0.0000, 0.0000, 0.0000), P at (0.0000, 0.0000, 0.2676), W at (0.0000, 0.0000, 0.5171) and W at (0.0000, 0.0000, 0.7525).


No. 6
Material: TaNbRe2As
Method: DFT, GGA-PBE
State: optimized geometry

The crystal system is tetragonal. The spin magnetization comes out at 0.0 Bohr magnetons per cell. Its calculated volume is 21.5 A^3/atom. The formation energy comes out at 897 kJ/mol of formula units.

It has space group P4/mmm (No. 123), with a = 4.777 Å, b = 4.777 Å, c = 4.706 Å, α = 90.00°, β = 90.00° and γ = 90.00°. Symmetry generates all atoms from Ta at (0.000, 0.000, 0.000), Nb at (0.500, 0.500, 0.500), Re at (0.000, 0.500, 0.000) and As at (0.000, 0.000, 0.500).


No. 7
Material: Nd6Al3Fe11
Method: DFT, GGA-PBE
State: optimized geometry

The crystal system is tetragonal. The spin magnetization comes out at 85.9 Bohr magnetons per cell. Its calculated volume is 19.1 A^3/atom. The formation energy comes out at -241 kJ/mol of formula units.

It has space group I4cm (No. 108), with a = 8.098 Å, b = 8.098 Å, c = 23.303 Å, α = 90.00°, β = 90.00° and γ = 90.00°. Symmetry generates all atoms from Nd at (0.000, 0.000, 0.000), Nd at (0.000, 0.000, 0.212), Nd at (0.165, 0.335, 0.291), Nd at (0.168, 0.332, 0.914), Al at (0.000, 0.000, 0.355), Al at (0.119, 0.381, 0.512), Fe at (0.000, 0.500, 0.107), Fe at (0.068, 0.211, 0.607), Fe at (0.113, 0.387, 0.700), Fe at (0.176, 0.324, 0.049) and Fe at (0.179, 0.321, 0.165).


No. 8
Material: LaIn2Au
Method: DFT, GGA-PBE
State: optimized geometry

The crystal system is orthorhombic. The spin magnetization comes out at 0.0 Bohr magnetons per cell. Its calculated volume is 26.5 A^3/atom. The formation energy comes out at -216 kJ/mol of formula units.

It has space group Immm (No. 71), with a = 4.796 Å, b = 9.967 Å, c = 17.710 Å, α = 90.00°, β = 90.00° and γ = 90.00°. Symmetry generates all atoms from La at (0.000, 0.000, 0.207), La at (0.000, 0.223, 0.000), In at (0.000, 0.000, 0.417), In at (0.000, 0.350, 0.191), In at (0.000, 0.500, 0.423) and Au at (0.000, 0.260, 0.353).